1.
# Ba2ZrPt | Alexandria via LeMat-Bulk | PBEsol | relaxed
data_Ba2ZrPt
_chemical_formula_sum 'Ba2 Zr1 Pt1'
_cell_length_a 3.6407
_cell_length_b 3.6407
_cell_length_c 9.5632
_cell_angle_alpha 90.00
_cell_angle_beta 90.00
_cell_angle_gamma 90.00
_space_group_name_H-M_alt 'P 4/m m m'
_space_group_IT_number 123
_space_group_name_Hall '-P 4 2'
loop_
_atom_site_label
_atom_site_type_symbol
_atom_site_fract_x
_atom_site_fract_y
_atom_site_fract_z
Ba1 Ba 0.0000 0.0000 0.1981
Zr1 Zr 0.5000 0.5000 0.5000
Pt1 Pt 0.5000 0.5000 0.0000
# ΔE_f in kJ/mol of formula units: 72
# Crystal system: tetragonal

***

2.
# BaZrPt2 | Alexandria via LeMat-Bulk | PBEsol | relaxed
data_BaZrPt2
_chemical_formula_sum 'Ba1 Zr1 Pt2'
_cell_length_a 3.4242
_cell_length_b 3.4242
_cell_length_c 7.6385
_cell_angle_alpha 90.00
_cell_angle_beta 90.00
_cell_angle_gamma 90.00
_space_group_name_H-M_alt 'P 4/m m m'
_space_group_IT_number 123
_space_group_name_Hall '-P 4 2'
loop_
_atom_site_label
_atom_site_type_symbol
_atom_site_fract_x
_atom_site_fract_y
_atom_site_fract_z
Ba1 Ba 0.0000 0.0000 0.0000
Zr1 Zr 0.0000 0.0000 0.5000
Pt1 Pt 0.5000 0.5000 0.3147
# ΔE_f in kJ/mol of formula units: -303
# Crystal system: tetragonal

***

3.
# Ba2ZrPt | Alexandria via LeMat-Bulk | PBEsol | relaxed
data_Ba2ZrPt
_chemical_formula_sum 'Ba4 Zr2 Pt2'
_cell_length_a 3.8123
_cell_length_b 5.8499
_cell_length_c 11.7278
_cell_angle_alpha 90.00
_cell_angle_beta 90.00
_cell_angle_gamma 90.00
_space_group_name_H-M_alt 'I m m 2'
_space_group_IT_number 44
_space_group_name_Hall 'I 2 -2'
loop_
_atom_site_label
_atom_site_type_symbol
_atom_site_fract_x
_atom_site_fract_y
_atom_site_fract_z
Ba1 Ba 0.0000 0.0000 0.0000
Ba2 Ba 0.0000 0.5000 0.1961
Zr1 Zr 0.0000 0.5000 0.8148
Pt1 Pt 0.0000 0.0000 0.4603
# ΔE_f in kJ/mol of formula units: -40
# Crystal system: orthorhombic